(w)
Compound: K2TcW
Source: the Alexandria database
Functional: meta-GGA SCAN
Structure: PBEsol geometry

Properties
Space group = P2/m (10)
Total moment = 0.000 μB per cell

```
4
Lattice="-0.543 2.607 0.447 -4.120 -1.860 2.131 2.882 -0.308 5.304" Properties=species:S:1:pos:R:3 pbc="T T T"
Tc -0.619 -1.084 3.717
K -3.491 0.577 1.930
K -1.173 0.171 0.647
W 1.169 1.149 2.875
```

(x)
Compound: K2TcW
Source: the Alexandria database
Functional: meta-GGA SCAN
Structure: PBEsol geometry

Properties
Space group = Pmmm (47)
Total moment = 0.000 μB per cell

```
4
Lattice="2.646 0.000 0.000 0.000 5.245 0.000 0.000 0.000 5.950" Properties=species:S:1:pos:R:3 pbc="T T T"
K 0.000 3.928 0.000
K 0.000 1.317 0.000
Tc 1.323 2.622 2.975
W 1.323 0.000 2.975
```

The structure shown above that is least stable: (x).